1.
TmHf2Cd: optimized geometry, PBE.

Lattice parameters (Å, degrees): 3.0982 3.0982 11.7367 82.42 82.42 60.00
Closest atoms and distances in Å follow each position.
Fractional positions:
Hf 0.9086 0.9086 0.2742  6 Hf 3.10, 3 Cd 3.17, 1 Tm 3.18
Hf 0.0914 0.0914 0.7258  6 Hf 3.10, 3 Cd 3.17, 1 Tm 3.18
Tm 0.0000 0.0000 0.0000  6 Tm 3.10, 2 Hf 3.18
Cd 0.5000 0.5000 0.5000  6 Cd 3.10, 6 Hf 3.17

Calculated values
For the energy, the calculation gives -5.980 eV/atom. The magnetization comes out at 0.00 μB/cell.


2.
Pr4Sb2TeP: optimized geometry, PBE.

Lattice parameters (Å, degrees): 4.4551 7.7151 7.7644 70.73 90.00 90.00
Closest atoms and distances in Å follow each position.
Fractional positions:
P 0.0000 0.5000 0.5000  6 Pr 3.04-3.06
Sb 0.0000 0.0000 0.0000  6 Pr 3.26-3.27
Sb 0.5000 0.0000 0.5000  6 Pr 3.13
Te 0.5000 0.5000 0.0000  6 Pr 3.19
Pr 0.5000 0.2638 0.7321  2 P 3.06, 3 Sb 3.13-3.26, 1 Te 3.19
Pr 0.0000 0.2546 0.2639  1 P 3.04, 3 Sb 3.13-3.27, 2 Te 3.19
Pr 0.0000 0.7454 0.7361  1 P 3.04, 3 Sb 3.13-3.27, 2 Te 3.19
Pr 0.5000 0.7362 0.2679  2 P 3.06, 3 Sb 3.13-3.26, 1 Te 3.19

Calculated values
For the energy, the calculation gives -5.832 eV/atom. The magnetization comes out at 0.00 μB/cell. The calculation puts the energy relative to the elements, uncorrected at -1.342 eV per atom.


3.
K3Ac3CrSe8: optimized geometry, PBE.

Lattice parameters (Å, degrees): 8.7672 8.7693 9.3608 117.93 90.00 119.99
Closest atoms and distances in Å follow each position.
Fractional positions:
Se 0.7938 0.5877 0.3082  1 Cr 2.64
Se 0.2062 0.4123 0.6918  1 Cr 2.64
Se 0.2061 0.9857 0.6918  1 Cr 2.64
Se 0.2587 0.5175 0.2762  3 Ac 3.08, 3 K 3.34
Se 0.2204 0.0143 0.3082  1 Cr 2.64
Se 0.7413 0.4825 0.7238  3 Ac 3.08, 3 K 3.34
Se 0.7796 0.9857 0.6918  1 Cr 2.64
Se 0.7939 0.0143 0.3082  1 Cr 2.64
Ac 0.5000 0.5000 0.5000  6 Se 3.08-3.13
Ac 0.5000 0.0000 0.5000  6 Se 3.08-3.13
Ac 0.0000 0.5000 0.5000  6 Se 3.08-3.13
K 0.0000 0.0000 0.0000  6 Se 3.34-3.39
K 0.0000 0.5000 0.0000  6 Se 3.34-3.39
K 0.5000 0.5000 0.0000  6 Se 3.34-3.39
Cr 0.0000 0.0000 0.5000  6 Se 2.64

Calculated values
For the energy, the calculation gives -4.960 eV/atom. The magnetization comes out at 1.92 μB/cell. The calculation puts the energy relative to the elements, uncorrected at -1.419 eV per atom.


4.
Zr6Ag7F31: optimized geometry, PBE.

Lattice parameters (Å, degrees): 8.8406 8.8406 8.8406 106.70 106.70 106.70
Closest atoms and distances in Å follow each position.
Fractional positions:
Ag 0.2901 0.4292 0.8132  7 F 2.49-2.72
Ag 0.5708 0.1868 0.7099  7 F 2.49-2.72
Ag 0.5000 0.5000 0.5000  6 F 2.56
Ag 0.1868 0.7099 0.5708  7 F 2.49-2.72
Ag 0.8132 0.2901 0.4292  7 F 2.49-2.72
Ag 0.4292 0.8132 0.2901  7 F 2.49-2.72
Ag 0.7099 0.5708 0.1868  7 F 2.49-2.72
F 0.0000 0.0000 0.0000  12 F 2.66-2.70, 6 Zr 2.91
F 0.2904 0.9433 0.4707  1 Zr 2.10
F 0.0194 0.1473 0.5492  2 Zr 2.22, 1 F 2.38
F 0.7491 0.6964 0.9102  2 Zr 2.14
F 0.9545 0.2120 0.8402  2 Zr 2.15-2.17
F 0.8527 0.4508 0.9806  2 Zr 2.22, 1 F 2.38
F 0.3235 0.2551 0.5576  1 Zr 2.10
F 0.2120 0.8402 0.9545  2 Zr 2.15-2.17
F 0.9433 0.4707 0.2904  1 Zr 2.10
F 0.1598 0.0455 0.7880  2 Zr 2.15-2.17
F 0.7449 0.4424 0.6765  1 Zr 2.10
F 0.8402 0.9545 0.2120  2 Zr 2.15-2.17
F 0.3036 0.0898 0.2509  2 Zr 2.14
F 0.0567 0.5293 0.7096  1 Zr 2.10
F 0.2551 0.5576 0.3235  1 Zr 2.10
F 0.6964 0.9102 0.7491  2 Zr 2.14
F 0.4707 0.2904 0.9433  1 Zr 2.10
F 0.9806 0.8527 0.4508  2 Zr 2.22, 1 F 2.38
F 0.5293 0.7096 0.0567  1 Zr 2.10
F 0.5576 0.3235 0.2551  1 Zr 2.10
F 0.1473 0.5492 0.0194  2 Zr 2.22, 1 F 2.38
F 0.0455 0.7880 0.1598  2 Zr 2.15-2.17
F 0.2509 0.3036 0.0898  2 Zr 2.14
F 0.7096 0.0567 0.5293  1 Zr 2.10
F 0.7880 0.1598 0.0455  2 Zr 2.15-2.17
F 0.6765 0.7449 0.4424  1 Zr 2.10
F 0.9102 0.7491 0.6964  2 Zr 2.14
F 0.4508 0.9806 0.8527  2 Zr 2.22, 1 F 2.38
F 0.4424 0.6765 0.7449  1 Zr 2.10
F 0.0898 0.2509 0.3036  2 Zr 2.14
F 0.5492 0.0194 0.1473  2 Zr 2.22, 1 F 2.38
Zr 0.3565 0.1147 0.0355  8 F 2.10-2.22
Zr 0.6435 0.8853 0.9645  8 F 2.10-2.22
Zr 0.9645 0.6435 0.8853  8 F 2.10-2.22
Zr 0.1147 0.0355 0.3565  8 F 2.10-2.22
Zr 0.8853 0.9645 0.6435  8 F 2.10-2.22
Zr 0.0355 0.3565 0.1147  8 F 2.10-2.22

Calculated values
For the energy, the calculation gives -5.769 eV/atom. The magnetization comes out at 0.37 μB/cell. The calculation puts the energy relative to the elements, uncorrected at -2.831 eV per atom.


5.
Tl2Pd3O8: optimized geometry, PBE.

Lattice parameters (Å, degrees): 5.3516 6.3360 6.4408 119.46 106.25 90.00
Closest atoms and distances in Å follow each position.
Fractional positions:
Pd 0.0000 0.2505 0.0000  6 O 2.03-2.09
Pd 0.5000 0.0000 0.0000  6 O 2.07-2.08
Pd 0.0000 0.7495 0.0000  6 O 2.03-2.09
O 0.0606 0.3987 0.7973  2 Pd 2.03
O 0.6124 0.6714 0.7819  2 Pd 2.05-2.07
O 0.6124 0.1105 0.7819  2 Pd 2.05-2.07
O 0.3876 0.3286 0.2181  2 Pd 2.05-2.07
O 0.9394 0.6013 0.2027  2 Pd 2.03
O 0.3876 0.8895 0.2181  2 Pd 2.05-2.07
O 0.9029 0.0979 0.1958  3 Pd 2.08-2.09
O 0.0971 0.9021 0.8042  3 Pd 2.08-2.09
Tl 0.3481 0.2863 0.5726  5 O 2.28-2.49
Tl 0.6519 0.7137 0.4274  5 O 2.28-2.49

Calculated values
For the energy, the calculation gives -5.086 eV/atom. The magnetization comes out at 0.00 μB/cell. The calculation puts the energy relative to the elements, uncorrected at -0.472 eV per atom.


6.
PuUAg: optimized geometry, PBE.

Lattice parameters (Å, degrees): 2.8998 5.4071 8.2769 93.15 90.00 105.55
Closest atoms and distances in Å follow each position.
Fractional positions:
U 0.8690 0.7379 0.9113  2 Pu 2.54-2.72
U 0.1310 0.2621 0.0887  2 Pu 2.54-2.72
Pu 0.1036 0.2071 0.7820  2 U 2.54-2.72
Pu 0.8964 0.7929 0.2180  2 U 2.54-2.72
Ag 0.6346 0.2691 0.4358  5 Ag 2.90-3.05, 2 U 3.22, 2 Pu 3.24
Ag 0.3654 0.7309 0.5642  5 Ag 2.90-3.05, 2 U 3.22, 2 Pu 3.24

Calculated values
For the energy, the calculation gives -9.273 eV/atom. The magnetization comes out at 7.23 μB/cell.


7.
BeAgRu3: optimized geometry, PBE.

Lattice parameters (Å, degrees): 4.1515 4.1515 4.1515 90.00 90.00 90.00
Closest atoms and distances in Å follow each position.
Fractional positions:
Ru 0.5000 0.0000 0.0000  2 Be 2.08
Ru 0.0000 0.0000 0.5000  2 Be 2.08
Ru 0.0000 0.5000 0.0000  2 Be 2.08
Be 0.0000 0.0000 0.0000  6 Ru 2.08
Ag 0.5000 0.5000 0.5000  12 Ru 2.94

Calculated values
For the relative energy among the computed polymorphs, the calculation gives 0 meV/atom. For the energy, the calculation gives -6.159 eV/atom. The magnetization comes out at 1.63 μB/cell.


8.
CrCd2PbN: optimized geometry, PBE.

Lattice parameters (Å, degrees): 5.9390 4.2190 5.9390 90.00 90.00 90.00
Closest atoms and distances in Å follow each position.
Fractional positions:
Cd 0.0000 0.0000 0.5000  2 Pb 2.97
Cd 0.5000 0.0000 0.0000  2 Pb 2.97
N 0.0000 0.5000 0.0000  2 Pb 2.11
Cr 0.5000 0.5000 0.5000  8 Cd 3.64
Pb 0.0000 0.0000 0.0000  2 N 2.11

Calculated values
For the energy, the calculation gives -2.760 eV/atom. The magnetization comes out at 0.76 μB/cell. The calculation puts the energy relative to the elements, uncorrected at 1.937 eV per atom.